Li7Cd2Au2 | GGA-PBE | relaxed

The calculation puts the calculated total energy at -2.26 eV/atom. The energy of formation is -276 meV per atom. The calculation puts the density at 5.6 g/cm3.

It has space group C2/m (No. 12), with a = 9.726 Å, b = 8.220 Å, c = 5.087 Å, α = 90.00°, β = 102.72° and γ = 90.00°. The asymmetric unit holds Li at (0.000, 0.000, 0.000), Li at (0.015, 0.500, 0.767), Li at (0.235, 0.177, 0.239), Cd at (0.000, 0.188, 0.500) and Au at (0.243, 0.000, 0.782).